Entry 1:
Entry from Alexandria: a relaxed UPdI6 crystal (PBE).

Lattice parameters (Å, degrees): 7.367 7.369 7.933 62.33 62.35 59.99
Fractional coordinates of all 8 atoms:
U  0.500  0.500  0.500
Pd  0.000  0.000  0.000
I  0.098  0.396  0.755
I  0.751  0.098  0.755
I  0.604  0.249  0.245
I  0.249  0.902  0.245
I  0.902  0.604  0.245
I  0.396  0.751  0.755

## Properties
E_tot ... -3.730 eV per atom
Fermi-level density of states ... 9.615 states/eV/cell
M_tot ... 1.8 μB/f.u.
SG ... R-3 (148)


Entry 2:
Entry from Alexandria: a relaxed Sr2LiSi crystal (PBE).

Lattice parameters (Å, degrees): 4.784 6.972 7.892 110.26 90.00 90.00
Fractional coordinates of all 8 atoms:
Sr  0.750  0.145  0.389
Sr  0.250  0.855  0.611
Sr  0.250  0.725  0.066
Sr  0.750  0.275  0.934
Li  0.250  0.433  0.338
Li  0.750  0.567  0.662
Si  0.750  0.640  0.328
Si  0.250  0.360  0.672

## Properties
E_tot ... -2.934 eV per atom
Fermi-level density of states ... 5.519 states/eV/cell
M_tot ... 0.0 μB/f.u.
SG ... P2_1/m (11)


Entry 3:
Entry from Alexandria: a relaxed Ac3Zr5Ti12 crystal (PBE).

Lattice parameters (Å, degrees): 14.492 14.492 14.492 109.47 109.47 109.47
Fractional coordinates of all 80 atoms:
Ac  0.750  0.375  0.125
Ac  0.875  0.750  0.125
Ac  0.375  0.750  0.625
Ac  0.250  0.125  0.375
Ac  0.875  0.125  0.250
Ac  0.375  0.625  0.250
Ac  0.625  0.375  0.750
Ac  0.125  0.875  0.750
Ac  0.750  0.875  0.625
Ac  0.625  0.250  0.375
Ac  0.125  0.250  0.875
Ac  0.250  0.625  0.875
Zr  0.125  0.375  0.250
Zr  0.000  0.500  0.000
Zr  0.000  0.000  0.000
Zr  0.375  0.250  0.125
Zr  0.500  0.000  0.500
Zr  0.500  0.500  0.000
Zr  0.125  0.750  0.375
Zr  0.750  0.125  0.875
Zr  0.750  0.625  0.375
Zr  0.375  0.125  0.750
Zr  0.625  0.875  0.250
Zr  0.500  0.500  0.500
Zr  0.500  0.000  0.000
Zr  0.000  0.000  0.500
Zr  0.250  0.375  0.625
Zr  0.250  0.875  0.125
Zr  0.000  0.500  0.500
Zr  0.875  0.250  0.625
Zr  0.625  0.750  0.875
Zr  0.875  0.625  0.750
Ti  0.665  0.965  0.996
Ti  0.330  0.496  0.530
Ti  0.004  0.535  0.335
Ti  0.496  0.165  0.965
Ti  0.700  0.665  0.670
Ti  0.004  0.470  0.170
Ti  0.330  0.835  0.300
Ti  0.970  0.800  0.965
Ti  0.470  0.004  0.670
Ti  0.665  0.700  0.170
Ti  0.835  0.504  0.535
Ti  0.830  0.030  0.996
Ti  0.965  0.665  0.496
Ti  0.535  0.530  0.200
Ti  0.200  0.030  0.535
Ti  0.300  0.965  0.470
Ti  0.200  0.170  0.165
Ti  0.504  0.670  0.970
Ti  0.830  0.800  0.335
Ti  0.965  0.300  0.970
Ti  0.535  0.004  0.835
Ti  0.470  0.465  0.300
Ti  0.030  0.830  0.496
Ti  0.835  0.330  0.800
Ti  0.530  0.535  0.700
Ti  0.970  0.170  0.504
Ti  0.165  0.670  0.200
Ti  0.170  0.200  0.665
Ti  0.465  0.996  0.165
Ti  0.035  0.700  0.030
Ti  0.496  0.330  0.030
Ti  0.700  0.035  0.530
Ti  0.800  0.830  0.835
Ti  0.800  0.970  0.465
Ti  0.035  0.335  0.504
Ti  0.170  0.970  0.004
Ti  0.465  0.470  0.800
Ti  0.530  0.996  0.330
Ti  0.335  0.300  0.830
Ti  0.165  0.496  0.465
Ti  0.030  0.200  0.035
Ti  0.670  0.165  0.700
Ti  0.504  0.835  0.035
Ti  0.996  0.530  0.830
Ti  0.300  0.335  0.330
Ti  0.996  0.465  0.665
Ti  0.670  0.504  0.470
Ti  0.335  0.035  0.004

## Properties
Energy relative to the elements ... 1.1500 eV/atom
Fermi-level density of states ... 122.505 states/eV/cell
M_tot ... 0.0 μB/f.u.
SG ... Ia-3d (230)


Entry 4:
Entry from Alexandria: a relaxed Co2HgRh crystal (PBE).

Lattice parameters (Å, degrees): 8.824 8.824 8.824 18.19 18.19 18.19
Fractional coordinates of all 4 atoms:
Co  0.997  0.997  0.997
Co  0.260  0.260  0.260
Hg  0.503  0.503  0.503
Rh  0.741  0.741  0.741

## Properties
Energy relative to the elements ... 0.3294 eV/atom
Fermi-level density of states ... 4.288 states/eV/cell
M_tot ... 4.3 μB/f.u.
SG ... R3m (160)